Entry 1:
Compound: Li2NiTe
Source: the Alexandria database
Functional: SCAN
Structure: PBEsol geometry

magnetization	0.0	μB per cell
N(E_F)	0.522	states/eV per atom
uncorrected formation energy	-0.15	eV per atom
space-group type	Pmm2 (25)

a = 3.219 Å, b = 3.627 Å, c = 5.556 Å
α = 90.00°, β = 90.00°, γ = 90.00°
Fractional coordinates of all 4 atoms:
Li  0.000  0.000  0.004
Li  0.500  0.500  0.255
Ni  0.000  0.000  0.522
Te  0.500  0.500  0.720

Entry 2:
Compound: LiNiTe
Source: the Alexandria database
Functional: SCAN
Structure: PBEsol geometry

magnetization	0.0	μB per cell
N(E_F)	0.739	states/eV per atom
uncorrected formation energy	-0.35	eV per atom
space-group type	F-43m (216)

a = 4.193 Å, b = 4.193 Å, c = 4.193 Å
α = 60.00°, β = 60.00°, γ = 60.00°
Fractional coordinates of all 3 atoms:
Li  0.000  0.000  0.000
Ni  0.500  0.500  0.500
Te  0.250  0.250  0.250

Entry 3:
Compound: LiNiTe
Source: the Alexandria database
Functional: SCAN
Structure: PBEsol geometry

magnetization	0.0	μB per cell
N(E_F)	0.578	states/eV per atom
uncorrected formation energy	-0.54	eV per atom
space-group type	F-43m (216)

a = 4.120 Å, b = 4.120 Å, c = 4.120 Å
α = 60.00°, β = 60.00°, γ = 60.00°
Fractional coordinates of all 3 atoms:
Ni  0.250  0.250  0.250
Te  0.000  0.000  0.000
Li  0.500  0.500  0.500

Entry 4:
Compound: LiNi2Te
Source: the Alexandria database
Functional: SCAN
Structure: PBEsol geometry

magnetization	0.0	μB per cell
N(E_F)	0.515	states/eV per atom
uncorrected formation energy	-0.06	eV per atom
space-group type	F-43m (216)

a = 4.207 Å, b = 4.207 Å, c = 4.207 Å
α = 60.00°, β = 60.00°, γ = 60.00°
Fractional coordinates of all 4 atoms:
Li  0.500  0.500  0.500
Ni  0.000  0.000  0.000
Ni  0.750  0.750  0.750
Te  0.250  0.250  0.250

Entry 5:
Compound: Li2NiTe
Source: the Alexandria database
Functional: SCAN
Structure: PBEsol geometry

magnetization	0.0	μB per cell
N(E_F)	0.318	states/eV per atom
uncorrected formation energy	-0.42	eV per atom
space-group type	P4/mmm (123)

a = 3.787 Å, b = 3.787 Å, c = 4.108 Å
α = 90.00°, β = 90.00°, γ = 90.00°
Fractional coordinates of all 4 atoms:
Li  0.000  0.500  0.000
Li  0.500  0.000  0.000
Ni  0.500  0.500  0.500
Te  0.000  0.000  0.500

Entry 6:
Compound: Li2NiTe
Source: the Alexandria database
Functional: SCAN
Structure: PBEsol geometry

magnetization	0.0	μB per cell
N(E_F)	0.081	states/eV per atom
uncorrected formation energy	-0.52	eV per atom
space-group type	R3m (160)

a = 4.267 Å, b = 4.267 Å, c = 4.778 Å
α = 90.02°, β = 116.50°, γ = 119.99°
Fractional coordinates of all 4 atoms:
Li  0.035  0.017  0.053
Li  0.481  0.241  0.721
Ni  0.910  0.455  0.364
Te  0.574  0.787  0.362

- Which of these has the lowest uncorrected formation energy?
  number 3